This record from Alexandria describes a relaxed structure of VFe3Sb2P6O24. The functional is GGA-PBEsol.

Results
Magnetization: 46.4 μB/cell
Theoretical density: 3.7 g cm⁻³
Formation energy from raw total energies: -67.7 eV per formula unit

Geometry as CIF:
```
data_VFe3Sb2P6O24
_chemical_formula_sum 'V3 Fe9 Sb6 P18 O72'
_cell_length_a 8.6188
_cell_length_b 8.6188
_cell_length_c 21.5982
_cell_angle_alpha 90.00
_cell_angle_beta 90.00
_cell_angle_gamma 120.00
_symmetry_space_group_name_H-M 'R 3'
_symmetry_Int_Tables_number 146
_symmetry_space_group_name_Hall 'R 3'
loop_
_atom_site_label
_atom_site_type_symbol
_atom_site_fract_x
_atom_site_fract_y
_atom_site_fract_z
_atom_site_occupancy
V1 V 0.0000 0.0000 0.0000 1
Fe1 Fe 0.0000 0.0000 0.2997 1
Fe2 Fe 0.0000 0.0000 0.4946 1
Fe3 Fe 0.0000 0.0000 0.7946 1
Sb1 Sb 0.0000 0.0000 0.1570 1
Sb2 Sb 0.0000 0.0000 0.6473 1
P1 P 0.0390 0.6679 0.0609 1
P2 P 0.0450 0.3777 0.5615 1
O1 O 0.0044 0.1998 0.8348 1
O2 O 0.0045 0.1900 0.9534 1
O3 O 0.0100 0.8065 0.3352 1
O4 O 0.0134 0.8345 0.0593 1
O5 O 0.0237 0.1885 0.5658 1
O6 O 0.1402 0.6815 0.1205 1
O7 O 0.1683 0.6831 0.3931 1
O8 O 0.1708 0.4821 0.8935 1
```